1.
First-principles (PBE) data for a geometry-optimized Pm7Tm4Sc structure, as listed in Alexandria. Values from VASP.

Geometry as Quantum ESPRESSO input:
```
&SYSTEM
  ibrav = 0, nat = 12, ntyp = 3
/
ATOMIC_SPECIES
Sc 44.96 Sc.upf
Pm 145.00 Pm.upf
Tm 168.93 Tm.upf
CELL_PARAMETERS angstrom
6.437 -1.753 2.682
0.312 5.524 2.830
2.836 -1.445 11.524
ATOMIC_POSITIONS crystal
Sc 0.000 0.000 0.000
Pm 0.835 0.563 0.664
Pm 0.500 0.000 0.000
Pm 0.912 0.945 0.333
Pm 0.245 0.503 0.999
Pm 0.755 0.497 0.001
Pm 0.088 0.055 0.667
Pm 0.165 0.437 0.336
Tm 0.667 0.449 0.334
Tm 0.572 0.056 0.670
Tm 0.333 0.551 0.666
Tm 0.428 0.944 0.330
```

## Properties
Space-group type: P-1
E above lowest polymorph: 0.0 kJ/mol of atoms
Calculated formation energy: 18 kJ/mol of formula units
DFT total energy: -57.3 eV per cell
Magnetization: 0.0 μB per cell

---

2.
First-principles (PBE) data for a geometry-optimized PmTm8Sc6 structure, as listed in Alexandria. Values from VASP.

Geometry as Quantum ESPRESSO input:
```
&SYSTEM
  ibrav = 0, nat = 15, ntyp = 3
/
ATOMIC_SPECIES
Sc 44.96 Sc.upf
Tm 168.93 Tm.upf
Pm 145.00 Pm.upf
CELL_PARAMETERS angstrom
9.021 0.000 0.000
4.510 7.812 0.000
4.510 2.604 6.066
ATOMIC_POSITIONS crystal
Sc 0.077 0.283 0.057
Sc 0.923 0.717 0.943
Sc 0.717 0.417 0.943
Sc 0.283 0.583 0.057
Sc 0.583 0.077 0.057
Sc 0.417 0.923 0.943
Tm 0.629 0.776 0.519
Tm 0.925 0.371 0.481
Tm 0.776 0.075 0.519
Tm 0.420 0.420 0.739
Tm 0.580 0.580 0.261
Tm 0.371 0.224 0.481
Tm 0.224 0.925 0.481
Tm 0.075 0.629 0.519
Pm 0.000 0.000 0.000
```

## Properties
Space-group type: R-3
E above lowest polymorph: 1.6 kJ/mol of atoms
Calculated formation energy: 285 kJ/mol of formula units
DFT total energy: -75.6 eV per cell
Magnetization: 0.0 μB per cell

---

3.
First-principles (PBE) data for a geometry-optimized Pm3Tm4Sc4 structure, as listed in Alexandria. Values from VASP.

Geometry as Quantum ESPRESSO input:
```
&SYSTEM
  ibrav = 0, nat = 11, ntyp = 3
/
ATOMIC_SPECIES
Pm 145.00 Pm.upf
Tm 168.93 Tm.upf
Sc 44.96 Sc.upf
CELL_PARAMETERS angstrom
-1.693 1.219 -2.790
3.958 -6.435 -5.214
-8.935 -3.768 5.948
ATOMIC_POSITIONS crystal
Pm 0.000 0.500 0.000
Pm 0.891 0.891 0.783
Pm 0.109 0.109 0.217
Tm 0.350 0.169 0.700
Tm 0.650 0.469 0.300
Tm 0.650 0.831 0.300
Tm 0.350 0.531 0.700
Sc 0.742 0.242 0.483
Sc 0.500 0.182 0.000
Sc 0.500 0.818 0.000
Sc 0.258 0.758 0.517
```

## Properties
Space-group type: Immm
Calculated formation energy: 146 kJ/mol of formula units
DFT total energy: -56.0 eV per cell
Magnetization: 0.0 μB per cell

---

4.
First-principles (PBE) data for a geometry-optimized Pm8Tm3Sc2 structure, as listed in Alexandria. Values from VASP.

Geometry as Quantum ESPRESSO input:
```
&SYSTEM
  ibrav = 0, nat = 13, ntyp = 3
/
ATOMIC_SPECIES
Sc 44.96 Sc.upf
Pm 145.00 Pm.upf
Tm 168.93 Tm.upf
CELL_PARAMETERS angstrom
5.593 0.000 0.788
0.000 7.745 0.000
-1.373 -3.872 9.719
ATOMIC_POSITIONS crystal
Sc 0.501 0.761 0.522
Sc 0.499 0.239 0.478
Pm 0.999 0.322 0.643
Pm 0.500 0.186 0.780
Pm 0.000 0.132 0.263
Pm 0.500 0.595 0.780
Pm 0.001 0.678 0.357
Pm 0.000 0.868 0.737
Pm 0.500 0.814 0.220
Pm 0.500 0.405 0.220
Tm 0.500 0.000 0.000
Tm 0.000 0.288 0.000
Tm 0.000 0.712 0.000
```

## Properties
Space-group type: C2/m
E above lowest polymorph: 0.0 kJ/mol of atoms
Calculated formation energy: 268 kJ/mol of formula units
DFT total energy: -61.3 eV per cell
Magnetization: 0.0 μB per cell

---

5.
First-principles (PBE) data for a geometry-optimized PmTm5Sc5 structure, as listed in Alexandria. Values from VASP.

Geometry as Quantum ESPRESSO input:
```
&SYSTEM
  ibrav = 0, nat = 11, ntyp = 3
/
ATOMIC_SPECIES
Tm 168.93 Tm.upf
Pm 145.00 Pm.upf
Sc 44.96 Sc.upf
CELL_PARAMETERS angstrom
-2.539 -5.125 0.702
3.217 2.226 4.232
-9.059 5.066 4.221
ATOMIC_POSITIONS crystal
Tm 0.667 0.333 0.163
Tm 0.333 0.667 0.323
Tm 0.667 0.333 0.837
Tm 0.333 0.667 0.677
Tm 0.000 0.000 0.000
Pm 0.333 0.667 0.000
Sc 0.000 0.000 0.732
Sc 0.835 0.165 0.500
Sc 0.330 0.165 0.500
Sc 0.000 0.000 0.268
Sc 0.835 0.670 0.500
```

## Properties
Space-group type: P-6m2
Calculated formation energy: 260 kJ/mol of formula units
DFT total energy: -56.1 eV per cell
Magnetization: 2.5 μB per cell

---

6.
First-principles (PBE) data for a geometry-optimized Pm3Tm2Sc4 structure, as listed in Alexandria. Values from VASP.

Geometry as Quantum ESPRESSO input:
```
&SYSTEM
  ibrav = 0, nat = 9, ntyp = 3
/
ATOMIC_SPECIES
Sc 44.96 Sc.upf
Pm 145.00 Pm.upf
Tm 168.93 Tm.upf
CELL_PARAMETERS angstrom
4.838 0.000 0.000
0.000 7.698 0.678
-2.419 -2.895 6.699
ATOMIC_POSITIONS crystal
Sc 0.440 0.662 0.881
Sc 0.221 0.338 0.442
Sc 0.779 0.662 0.558
Sc 0.560 0.338 0.119
Pm 0.000 0.000 0.000
Pm 0.111 0.660 0.223
Pm 0.889 0.340 0.777
Tm 0.667 0.003 0.334
Tm 0.333 0.997 0.666
```

## Properties
Space-group type: C2/m
E above lowest polymorph: 0.6 kJ/mol of atoms
Calculated formation energy: 50 kJ/mol of formula units
DFT total energy: -48.0 eV per cell
Magnetization: 0.0 μB per cell